MgGaWO2 | PBE with a Hubbard U | relaxed

abc: 3.7757 4.9596 3.7757
angles: 90.00 90.00 90.00
With the nearest neighbours (Å) after each atom.
Sites, in units of the cell vectors:
O: 0.0000 0.0000 0.5000  2 Mg 1.89
O: 0.5000 0.0000 0.0000  2 Mg 1.89
Mg: 0.0000 0.0000 0.0000  4 O 1.89
Ga: 0.0000 0.5000 0.0000  2 Mg 2.48, 4 W 2.67
W: 0.5000 0.5000 0.5000  4 Ga 2.67

Computed properties:
VASP energy = -4.012 eV per atom
Total magnetization = 0.0 Bohr magnetons per cell
Symmetry = No. 123